(1)
Ac8NiPb3: optimized geometry, PBE.

Values from the calculation:
Raw total energy (eV per atom): -4.313
E_form (meV per atom): -165

a = 7.868 Å, b = 7.868 Å, c = 15.858 Å
α = 90.00°, β = 90.00°, γ = 90.00°
Space group I4/mmm (No. 139)
Inequivalent atoms, fractional coordinates:
Ac: 0.236 0.236 0.116 x16
Ni: 0.000 0.000 0.000 x2
Pb: 0.000 0.000 0.500 x2
Pb: 0.000 0.500 0.250 x4

=====

(2)
Ac3Ni2Pb4: optimized geometry, PBE.

Values from the calculation:
Distance to the lowest polymorph of the same formula (meV per atom): 15
Raw total energy (eV per atom): -4.681
E_form (meV per atom): -379

a = 12.478 Å, b = 4.826 Å, c = 9.203 Å
α = 90.00°, β = 99.67°, γ = 90.00°
Space group C2/m (No. 12)
Inequivalent atoms, fractional coordinates:
Ac: 0.000 0.000 0.000 x2
Ac: 0.145 0.500 0.658 x4
Ni: 0.084 0.500 0.276 x4
Pb: 0.079 0.000 0.381 x4
Pb: 0.222 0.500 0.092 x4

=====

(3)
AcNiPb: optimized geometry, PBE.

Values from the calculation:
Distance to the lowest polymorph of the same formula (meV per atom): 278
Raw total energy (eV per atom): -4.631
E_form (meV per atom): -98

a = 3.570 Å, b = 3.570 Å, c = 12.151 Å
α = 90.00°, β = 90.00°, γ = 90.00°
Space group I4mm (No. 107)
Inequivalent atoms, fractional coordinates:
Ac: 0.000 0.000 0.000 x2
Ni: 0.000 0.000 0.656 x2
Pb: 0.000 0.000 0.278 x2

=====

(4)
Ac7NiPb4: optimized geometry, PBE.

Values from the calculation:
Raw total energy (eV per atom): -4.380
E_form (meV per atom): -265

a = 17.225 Å, b = 5.762 Å, c = 12.129 Å
α = 90.00°, β = 127.06°, γ = 90.00°
Space group C2/m (No. 12)
Inequivalent atoms, fractional coordinates:
Ac: 0.000 0.000 0.000 x2
Ac: 0.075 0.500 0.275 x4
Ac: 0.140 0.000 0.552 x4
Ac: 0.212 0.500 0.864 x4
Ni: 0.000 0.500 0.000 x2
Pb: 0.078 0.000 0.781 x4
Pb: 0.224 0.000 0.347 x4

=====

(5)
Ac2NiPb: optimized geometry, PBE.

Values from the calculation:
Raw total energy (eV per atom): -4.607
E_form (meV per atom): -180

a = 12.187 Å, b = 4.658 Å, c = 5.007 Å
α = 90.00°, β = 114.12°, γ = 90.00°
Space group C2/m (No. 12)
Inequivalent atoms, fractional coordinates:
Ac: 0.165 0.000 0.164 x4
Ni: 0.000 0.500 0.000 x2
Pb: 0.000 0.500 0.500 x2

=====

(6)
Ac3Ni2Pb4: optimized geometry, PBE.

Values from the calculation:
Distance to the lowest polymorph of the same formula (meV per atom): 0
Raw total energy (eV per atom): -4.696
E_form (meV per atom): -394

a = 12.180 Å, b = 4.716 Å, c = 9.302 Å
α = 90.00°, β = 99.92°, γ = 90.00°
Space group C2/m (No. 12)
Inequivalent atoms, fractional coordinates:
Ac: 0.000 0.000 0.000 x2
Ac: 0.121 0.500 0.689 x4
Ni: 0.212 0.500 0.421 x4
Pb: 0.097 0.000 0.383 x4
Pb: 0.207 0.500 0.100 x4

=====

(7)
Ac7Ni2Pb2: optimized geometry, PBE.

Values from the calculation:
Raw total energy (eV per atom): -4.525
E_form (meV per atom): -185

a = 8.643 Å, b = 12.366 Å, c = 7.597 Å
α = 90.00°, β = 90.00°, γ = 90.00°
Space group Cmmm (No. 65)
Inequivalent atoms, fractional coordinates:
Ac: 0.000 0.000 0.000 x2
Ac: 0.000 0.500 0.228 x4
Ac: 0.250 0.250 0.249 x8
Ni: 0.000 0.288 0.000 x4
Pb: 0.177 0.000 0.500 x4

=====

(8)
Ac4NiPb2: optimized geometry, PBE.

Values from the calculation:
Distance to the lowest polymorph of the same formula (meV per atom): 2
Raw total energy (eV per atom): -4.604
E_form (meV per atom): -371

a = 6.956 Å, b = 7.443 Å, c = 10.182 Å
α = 90.00°, β = 106.00°, γ = 90.00°
Space group P2_1/m (No. 11)
Inequivalent atoms, fractional coordinates:
Ac: 0.189 0.250 0.093 x2
Ac: 0.273 0.501 0.749 x4
Ac: 0.288 0.750 0.391 x2
Ni: 0.474 0.250 0.342 x2
Pb: 0.154 0.250 0.441 x2
Pb: 0.326 0.750 0.053 x2

=====

(9)
Ac6Ni2Pb3: optimized geometry, PBE.

Values from the calculation:
Raw total energy (eV per atom): -4.569
E_form (meV per atom): -265

a = 5.455 Å, b = 5.455 Å, c = 27.838 Å
α = 90.00°, β = 90.00°, γ = 90.00°
Space group I4/mmm (No. 139)
Inequivalent atoms, fractional coordinates:
Ac: 0.000 0.000 0.205 x4
Ac: 0.000 0.500 0.082 x8
Ni: 0.000 0.000 0.104 x4
Pb: 0.000 0.000 0.328 x4
Pb: 0.000 0.000 0.500 x2

=====

(10)
AcNiPb: optimized geometry, PBE.

Values from the calculation:
Distance to the lowest polymorph of the same formula (meV per atom): 53
Raw total energy (eV per atom): -4.856
E_form (meV per atom): -323

a = 4.6769 Å, b = 4.6769 Å, c = 4.3222 Å
α = 90.00°, β = 90.00°, γ = 120.00°
Space group P-6m2 (No. 187)
Inequivalent atoms, fractional coordinates:
Ac: 0.0000 0.0000 0.0000 x1
Ni: 0.3333 0.6667 0.5000 x1
Pb: 0.6667 0.3333 0.5000 x1

=====

(11)
Ac3NiPb3: optimized geometry, PBE.

Values from the calculation:
Raw total energy (eV per atom): -4.612
E_form (meV per atom): -436

a = 12.282 Å, b = 4.831 Å, c = 16.421 Å
α = 90.00°, β = 110.39°, γ = 90.00°
Space group C2/m (No. 12)
Inequivalent atoms, fractional coordinates:
Ac: 0.026 0.000 0.387 x4
Ac: 0.092 0.000 0.918 x4
Ac: 0.249 0.500 0.758 x4
Ni: 0.249 0.000 0.611 x4
Pb: 0.045 0.500 0.245 x4
Pb: 0.132 0.500 0.078 x4
Pb: 0.160 0.500 0.536 x4

=====

(12)
AcNiPb: optimized geometry, PBE.

Values from the calculation:
Distance to the lowest polymorph of the same formula (meV per atom): 0
Raw total energy (eV per atom): -4.908
E_form (meV per atom): -376

a = 12.600 Å, b = 4.461 Å, c = 5.737 Å
α = 90.00°, β = 96.73°, γ = 90.00°
Space group C2/m (No. 12)
Inequivalent atoms, fractional coordinates:
Ac: 0.126 0.000 0.312 x4
Ni: 0.224 0.000 0.870 x4
Pb: 0.100 0.500 0.803 x4

=====

(13)
Ac2NiPb: optimized geometry, PBE.

Values from the calculation:
Raw total energy (eV per atom): -4.061
E_form (meV per atom): 365

a = 3.7179 Å, b = 3.7179 Å, c = 33.3548 Å
α = 90.00°, β = 90.00°, γ = 120.00°
Space group R-3m (No. 166, hexagonal axes)
Inequivalent atoms, fractional coordinates:
Ac: 0.0000 0.0000 0.0797 x6
Ni: 0.0000 0.0000 0.0000 x3
Pb: 0.0000 0.0000 0.5000 x3

=====

(14)
Ac12Ni5Pb3: optimized geometry, PBE.

Values from the calculation:
Raw total energy (eV per atom): -4.580
E_form (meV per atom): -113

a = 18.308 Å, b = 18.308 Å, c = 18.308 Å
α = 90.00°, β = 90.00°, γ = 90.00°
Space group Ia-3d (No. 230)
Inequivalent atoms, fractional coordinates:
Ac: 0.029 0.056 0.648 x96
Ni: 0.000 0.000 0.000 x16
Ni: 0.000 0.250 0.375 x24
Pb: 0.000 0.250 0.125 x24

=====

(15)
Ac4NiPb8: optimized geometry, PBE.

Values from the calculation:
Raw total energy (eV per atom): -4.394
E_form (meV per atom): -403

a = 4.762 Å, b = 4.868 Å, c = 18.304 Å
α = 90.00°, β = 90.00°, γ = 90.00°
Space group Pmm2 (No. 25)
Inequivalent atoms, fractional coordinates:
Ac: 0.000 0.000 0.000 x1
Ac: 0.000 0.500 0.497 x1
Ac: 0.500 0.000 0.202 x1
Ac: 0.500 0.500 0.703 x1
Ni: 0.500 0.000 0.410 x1
Pb: 0.000 0.000 0.344 x1
Pb: 0.000 0.000 0.668 x1
Pb: 0.000 0.500 0.158 x1
Pb: 0.000 0.500 0.855 x1
Pb: 0.500 0.000 0.553 x1
Pb: 0.500 0.000 0.848 x1
Pb: 0.500 0.500 0.039 x1
Pb: 0.500 0.500 0.342 x1

=====

(16)
Ac3Ni2Pb3: optimized geometry, PBE.

Values from the calculation:
Raw total energy (eV per atom): -4.758
E_form (meV per atom): -381

a = 4.766 Å, b = 11.814 Å, c = 16.402 Å
α = 90.00°, β = 90.00°, γ = 90.00°
Space group Cmcm (No. 63)
Inequivalent atoms, fractional coordinates:
Ac: 0.000 0.083 0.108 x8
Ac: 0.000 0.367 0.250 x4
Ni: 0.000 0.197 0.607 x8
Pb: 0.000 0.334 0.750 x4
Pb: 0.000 0.363 0.037 x8

=====

(17)
Ac6NiPb2: optimized geometry, PBE.

Values from the calculation:
Raw total energy (eV per atom): -4.505
E_form (meV per atom): -299

a = 7.092 Å, b = 9.038 Å, c = 12.827 Å
α = 90.00°, β = 121.82°, γ = 90.00°
Space group P2_1/c (No. 14)
Inequivalent atoms, fractional coordinates:
Ac: 0.090 0.174 0.449 x4
Ac: 0.319 0.689 0.450 x4
Ac: 0.365 0.028 0.249 x4
Ni: 0.500 0.000 0.500 x2
Pb: 0.171 0.116 0.753 x4

=====

(18)
AcPmNiPb: optimized geometry, PBE.

Values from the calculation:
Raw total energy (eV per atom): -4.791
E_form (meV per atom): -204

a = 7.731 Å, b = 7.731 Å, c = 7.731 Å
α = 90.00°, β = 90.00°, γ = 90.00°
Space group F-43m (No. 216)
Inequivalent atoms, fractional coordinates:
Ac: 0.000 0.000 0.000 x4
Pm: 0.000 0.000 0.500 x4
Ni: 0.250 0.250 0.750 x4
Pb: 0.250 0.250 0.250 x4

=====

(19)
Ac3NiRhPb: optimized geometry, PBE.

Values from the calculation:
Raw total energy (eV per atom): -5.243
E_form (meV per atom): -382

a = 9.338 Å, b = 4.279 Å, c = 10.110 Å
α = 90.00°, β = 112.88°, γ = 90.00°
Space group P2_1/m (No. 11)
Inequivalent atoms, fractional coordinates:
Ac: 0.155 0.250 0.141 x2
Ac: 0.266 0.750 0.484 x2
Ac: 0.270 0.750 0.851 x2
Ni: 0.008 0.250 0.438 x2
Rh: 0.038 0.250 0.793 x2
Pb: 0.477 0.750 0.247 x2